Entry from Alexandria: crystalline NaS at its relaxed geometry (GGA-PBE).

## Properties
total DFT energy (no corrections) = -3.327 eV/atom
uncorrected formation energy = -0.6037 eV per atom

The structure in POSCAR format:
```
NaS
1.0
-0.713 0.442 4.531
2.702 -2.914 2.333
2.827 -0.521 5.188
Na S
1 1
Cartesian
0.000 0.000 0.000
1.414 -0.261 2.594
```